SrAc2P (PBE, relaxed); total magnetic moment = 0.0 μB/f.u.; energy above the lowest structure with this stoichiometry = 0 meV/atom; formation energy = -645 meV per atom; Fermi-level density of states = 5.5 states/eV/cell
1.0
2.1290 1.2292 10.9084
-2.1290 1.2292 10.9084
0.0000 -2.4583 10.9084
Sr Ac P
1 2 1
Cartesian
0.0000 0.0000 0.0000
0.0000 0.0000 7.2255
0.0000 0.0000 25.4996
0.0000 0.0000 16.3625

---

SrAcP2 (PBE, relaxed); total magnetic moment = 0.0 μB/f.u.; energy above the lowest structure with this stoichiometry = 0 meV/atom; formation energy = -1084 meV per atom; Fermi-level density of states = 5.6 states/eV/cell
1.0
2.2216 1.2826 7.1772
-2.2216 1.2826 7.1772
0.0000 -2.5653 7.1772
Sr Ac P
1 1 2
Cartesian
0.0000 0.0000 0.0000
0.0000 0.0000 10.7658
0.0000 0.0000 5.3322
0.0000 0.0000 16.1994

---

SrAcP2 (PBE, relaxed); total magnetic moment = 0.0 μB/f.u.; energy above the lowest structure with this stoichiometry = 84 meV/atom; formation energy = -1000 meV per atom; Fermi-level density of states = 6.3 states/eV/cell
1.0
2.1997 1.2700 7.4071
-2.1997 1.2700 7.4071
0.0000 -2.5400 7.4071
Sr Ac P
1 1 2
Cartesian
0.0000 0.0000 0.0000
0.0000 0.0000 3.8260
0.0000 0.0000 12.9873
0.0000 0.0000 16.8047

---

SrAc2P (PBE, relaxed); total magnetic moment = 0.0 μB/f.u.; energy above the lowest structure with this stoichiometry = 164 meV/atom; formation energy = -481 meV per atom; Fermi-level density of states = 4.9 states/eV/cell
1.0
3.8739 0.0000 0.0000
0.0000 3.8739 0.0000
0.0000 0.0000 10.3574
Sr Ac P
1 2 1
Cartesian
0.0000 0.0000 0.0000
1.9370 1.9370 3.4697
1.9370 1.9370 6.8877
0.0000 0.0000 5.1787

---

SrAcP2 (PBE, relaxed); total magnetic moment = 0.0 μB/f.u.; energy above the lowest structure with this stoichiometry = 176 meV/atom; formation energy = -908 meV per atom; Fermi-level density of states = 4.0 states/eV/cell
1.0
5.2380 0.0000 0.0000
0.0000 5.2380 0.0000
0.0000 0.0000 3.8585
Sr Ac P
1 1 2
Cartesian
0.0000 0.0000 0.0000
2.6190 2.6190 0.0000
0.0000 2.6190 1.9293
2.6190 0.0000 1.9293

---

Sr5AcP4 (PBE, relaxed); total magnetic moment = 1.0 μB/f.u.; formation energy = -1030 meV per atom; Fermi-level density of states = 4.5 states/eV/cell
1.0
-2.3002 4.1528 8.9056
2.3002 -4.1528 8.9056
2.3002 4.1528 -8.9056
Sr Ac P
5 1 4
Cartesian
0.0000 0.0000 0.0000
2.3002 2.1781 -2.9736
2.3002 2.1781 2.9736
0.0000 1.9747 5.9320
0.0000 1.9747 11.8792
0.0000 4.1528 0.0000
2.3002 2.0589 0.0000
2.3002 0.0000 5.4332
0.0000 4.1528 3.4724
0.0000 2.0939 8.9056

---

SrAcP2 (PBE, relaxed); total magnetic moment = 0.0 μB/f.u.; energy above the lowest structure with this stoichiometry = 171 meV/atom; formation energy = -913 meV per atom; Fermi-level density of states = 4.7 states/eV/cell
1.0
0.0000 3.7503 3.7503
3.7503 0.0000 3.7503
3.7503 3.7503 0.0000
Sr Ac P
1 1 2
Cartesian
0.0000 0.0000 0.0000
3.7503 3.7503 3.7503
1.8751 1.8751 1.8751
5.6254 5.6254 5.6254

---

SrAc3P4 (PBE, relaxed); total magnetic moment = 0.0 μB/f.u.; formation energy = -1284 meV per atom; Fermi-level density of states = 5.2 states/eV/cell
1.0
6.2638 0.0000 0.0000
0.0000 6.2638 0.0000
0.0000 0.0000 6.2638
Sr Ac P
1 3 4
Cartesian
0.0000 0.0000 0.0000
0.0000 3.1319 3.1319
3.1319 0.0000 3.1319
3.1319 3.1319 0.0000
0.0000 0.0000 3.1319
0.0000 3.1319 0.0000
3.1319 0.0000 0.0000
3.1319 3.1319 3.1319

---

| no. | total DFT energy (no corrections) (eV/atom) | calculated volume (Å³/cell) |
| --- | --- | --- |
| 1 | -4.472 | 171 |
| 2 | -5.236 | 123 |
| 3 | -5.152 | 124 |
| 4 | -4.308 | 155 |
| 5 | -5.060 | 106 |
| 6 | -4.445 | 340 |
| 7 | -5.066 | 105 |
| 8 | -5.740 | 246 |